1.
Entry from Alexandria via LeMat-Bulk: an optimized crystal structure of Rb3HoSb2Te6 (PBE-GGA).

Space-group type   C2/m, No. 12
Formation energy (no corrections)   -9.6 eV per formula unit

The structure in POSCAR format:
```
Rb3HoSb2Te6
1.0
-6.4874 0.6224 -4.4263
6.8640 -1.9703 -3.3270
-1.8395 -7.8042 3.9348
Rb Ho Sb Te
3 1 2 6
Direct
0.1680 0.8320 0.5000 Rb
0.8320 0.1680 0.5000 Rb
0.5000 0.5000 0.5000 Rb
0.0000 0.0000 0.0000 Ho
0.3335 0.6665 0.0000 Sb
0.6665 0.3335 0.0000 Sb
0.9347 0.6023 0.8038 Te
0.7332 0.7332 0.1966 Te
0.0653 0.3977 0.1962 Te
0.6023 0.9347 0.8038 Te
0.2668 0.2668 0.8034 Te
0.3977 0.0653 0.1962 Te
```

***

2.
Entry from Alexandria via LeMat-Bulk: an optimized crystal structure of Rb3Ho3SbTe8 (PBE-GGA).

Space-group type   C2/m, No. 12
DOS at the Fermi energy   0.429 states/eV per atom
Formation energy (no corrections)   -16.3 eV per formula unit

The structure in POSCAR format:
```
Rb3Ho3SbTe8
1.0
8.8552 0.0000 0.0000
-4.4276 7.6883 -0.0381
0.0000 -5.0938 8.7887
Rb Ho Sb Te
3 3 1 8
Direct
0.0000 0.0000 0.0000 Rb
0.0000 0.5000 0.0000 Rb
0.5000 0.5000 0.0000 Rb
0.5000 0.0000 0.5000 Ho
0.5000 0.5000 0.5000 Ho
0.0000 0.5000 0.5000 Ho
0.0000 0.0000 0.5000 Sb
0.2669 0.5339 0.3009 Te
0.7331 0.4661 0.6991 Te
0.7686 0.5372 0.3046 Te
0.2314 0.4628 0.6954 Te
0.7685 0.0359 0.3048 Te
0.2315 0.9641 0.6952 Te
0.2674 0.0359 0.3048 Te
0.7326 0.9641 0.6952 Te
```

***

3.
Entry from Alexandria via LeMat-Bulk: an optimized crystal structure of Rb3HoSc3Se8 (PBE-GGA).

Space-group type   R-3m, No. 166
DOS at the Fermi energy   0.479 states/eV per atom
Formation energy (no corrections)   -23.6 eV per formula unit

The structure in POSCAR format:
```
Rb3HoSc3Se8
1.0
7.9595 0.0000 0.0000
-3.9798 6.8927 -0.0266
0.0000 -4.5659 8.1691
Rb Ho Sc Se
3 1 3 8
Direct
0.0000 0.0000 0.0000 Rb
0.0000 0.5000 0.0000 Rb
0.5000 0.5000 0.0000 Rb
0.0000 0.0000 0.5000 Ho
0.5000 0.0000 0.5000 Sc
0.5000 0.5000 0.5000 Sc
0.0000 0.5000 0.5000 Sc
0.2712 0.5424 0.3140 Se
0.7288 0.4576 0.6860 Se
0.7630 0.5260 0.3095 Se
0.2370 0.4740 0.6905 Se
0.7629 0.0462 0.3096 Se
0.2371 0.9538 0.6904 Se
0.2832 0.0462 0.3096 Se
0.7168 0.9538 0.6904 Se
```

***

4.
Entry from Alexandria via LeMat-Bulk: an optimized crystal structure of Rb3Ho3ScSe8 (PBE-GGA).

Space-group type   R-3m, No. 166
DOS at the Fermi energy   0.587 states/eV per atom
Formation energy (no corrections)   -24.5 eV per formula unit

The structure in POSCAR format:
```
Rb3Ho3ScSe8
1.0
8.2029 -0.0009 0.0009
-4.1023 7.1045 -0.0305
0.0014 -4.7054 8.2360
Rb Ho Sc Se
3 3 1 8
Direct
0.0000 0.0000 0.0000 Rb
0.0000 0.5000 0.0000 Rb
0.5000 0.5000 0.0000 Rb
0.5000 0.0000 0.5000 Ho
0.5000 0.5000 0.5000 Ho
0.0000 0.5000 0.5000 Ho
0.0000 0.0000 0.5000 Sc
0.2676 0.5355 0.3041 Se
0.7324 0.4645 0.6959 Se
0.7756 0.5514 0.3115 Se
0.2244 0.4486 0.6885 Se
0.7755 0.0354 0.3114 Se
0.2245 0.9646 0.6886 Se
0.2599 0.0354 0.3114 Se
0.7401 0.9646 0.6886 Se
```

***

Number 1: final energy -44.2 eV per cell. Number 2: final energy -62.2 eV per cell. Number 3: final energy -77.9 eV per cell. Number 4: final energy -75.4 eV per cell.